Density functional theory data (GGA-PBE) for an optimized crystal structure of U2Zn15Au2.

Unit cell a=6.839 b=6.839 c=6.839 alpha=82.79 beta=82.79 gamma=82.79
Last column: magnetic moment on the atom in μB.
Atoms (fractional coordinates):
1 Zn 0.838 0.354 0.354  0.00
2 Zn 0.500 0.000 0.000  -0.01
3 Zn 0.000 0.704 0.296  0.00
4 Zn 0.646 0.162 0.646  0.00
5 Zn 0.000 0.500 0.000  -0.01
6 Zn 0.646 0.646 0.162  0.00
7 Zn 0.704 0.000 0.296  0.00
8 Zn 0.354 0.838 0.354  0.00
9 Zn 0.162 0.646 0.646  0.00
10 Zn 0.354 0.354 0.838  0.00
11 Zn 0.000 0.000 0.500  -0.01
12 Zn 0.704 0.296 0.000  0.00
13 Zn 0.296 0.704 0.000  0.00
14 Zn 0.296 0.000 0.704  0.00
15 Zn 0.000 0.296 0.704  0.00
16 Au 0.112 0.112 0.112  0.01
17 Au 0.888 0.888 0.888  0.01
18 U 0.344 0.344 0.344  2.45
19 U 0.656 0.656 0.656  2.45

DFT formation energy = -0.091 eV/atom
crystal system = trigonal
magnetic moment = 5.5 μB/f.u.
DOS(E_F) = 21.76 states/eV/f.u.
electronic total energy = -2.630 eV/atom

=====

Density functional theory data (GGA-PBE) for an optimized crystal structure of PrYPt2.

Unit cell a=5.054 b=5.054 c=5.054 alpha=60.00 beta=60.00 gamma=60.00
Atoms (fractional coordinates):
1 Pt 0.250 0.250 0.250
2 Pt 0.750 0.750 0.750
3 Y 0.500 0.500 0.500
4 Pr 0.000 0.000 0.000

DFT formation energy = -1.082 eV/atom
crystal system = cubic
magnetic moment = 0.0 μB/f.u.
DOS(E_F) = 3.97 states/eV/f.u.
electronic total energy = -6.913 eV/atom

=====

Density functional theory data (GGA-PBE) for an optimized crystal structure of Al2Co2Os.

Unit cell a=6.816 b=6.816 c=2.696 alpha=90.00 beta=90.00 gamma=90.00
Atoms (fractional coordinates):
1 Co 0.622 0.122 0.000
2 Co 0.122 0.378 0.000
3 Co 0.878 0.622 0.000
4 Co 0.378 0.878 0.000
5 Al 0.324 0.176 0.500
6 Al 0.176 0.676 0.500
7 Al 0.676 0.824 0.500
8 Al 0.824 0.324 0.500
9 Os 0.500 0.500 0.000
10 Os 0.000 0.000 0.000

DFT formation energy = -0.111 eV/atom
crystal system = tetragonal
magnetic moment = 0.0 μB/f.u.
DOS(E_F) = 4.99 states/eV/f.u.
electronic total energy = -6.696 eV/atom